Entry 1:
CrBi2CF | PBEsol | relaxed

Cell lengths 5.0571, 5.0571, 3.8868 Å; angles 90.00, 90.00, 90.00 degrees
With the nearest neighbours (Å) after each atom.
Space group P4/mmm (No. 123)
Asymmetric unit:
Cr 0.0000 0.0000 0.0000 [1 per cell]  2 F 1.94
Bi 0.0000 0.5000 0.5000 [2 per cell]  2 F 2.53
C 0.5000 0.5000 0.0000 [1 per cell]  8 Bi 3.19
F 0.0000 0.0000 0.5000 [1 per cell]  2 Cr 1.94

Values from the calculation:
raw total energy	-5.0102	eV/atom
ΔE_f (raw)	5.33	eV per formula unit

***

Entry 2:
Cr2GaBiC | PBEsol | relaxed

Cell lengths 4.1380, 4.1380, 4.3460 Å; angles 90.00, 90.00, 90.00 degrees
With the nearest neighbours (Å) after each atom.
Space group P4/mmm (No. 123)
Asymmetric unit:
Cr 0.0000 0.5000 0.0000 [2 per cell]  2 C 2.07
Ga 0.0000 0.0000 0.5000 [1 per cell]  2 C 2.17
Bi 0.5000 0.5000 0.5000 [1 per cell]  4 Ga 2.93, 8 Cr 3.00
C 0.0000 0.0000 0.0000 [1 per cell]  4 Cr 2.07, 2 Ga 2.17

Values from the calculation:
formation energy	0.576	eV per atom
raw total energy	-6.9746	eV/atom

***

Entry 3:
CrBiOs2C | PBEsol | relaxed

Cell lengths 4.3941, 4.3941, 4.8952 Å; angles 90.00, 90.00, 90.00 degrees
With the nearest neighbours (Å) after each atom.
Space group P4/mmm (No. 123)
Asymmetric unit:
Cr 0.0000 0.0000 0.0000 [1 per cell]  4 Os 2.20, 2 Bi 2.45
Bi 0.0000 0.0000 0.5000 [1 per cell]  2 Cr 2.45
Os 0.0000 0.5000 0.0000 [2 per cell]  2 Cr 2.20
C 0.5000 0.5000 0.5000 [1 per cell]  4 Bi 3.11, 8 Os 3.29

Values from the calculation:
formation energy	2.775	eV per atom
raw total energy	-6.9458	eV/atom

***

Entry 4:
Cr2BiCSe | PBEsol | relaxed

Cell lengths 5.2832, 5.2832, 4.3106 Å; angles 90.00, 90.00, 90.00 degrees
With the nearest neighbours (Å) after each atom.
Space group P4/mmm (No. 123)
Asymmetric unit:
Cr 0.0000 0.5000 0.0000 [2 per cell]  2 Bi 2.64
Bi 0.0000 0.0000 0.0000 [1 per cell]  2 C 2.16
C 0.0000 0.0000 0.5000 [1 per cell]  2 Bi 2.16
Se 0.5000 0.5000 0.5000 [1 per cell]  8 Cr 3.41, 4 C 3.74

Values from the calculation:
raw total energy	-5.6029	eV/atom
ΔE_f (raw)	10.25	eV per formula unit

***

Entry 5:
Cs3BiC | PBEsol | relaxed

Cell lengths 6.1873, 6.1873, 6.1873 Å; angles 90.00, 90.00, 90.00 degrees
With the nearest neighbours (Å) after each atom.
Space group Pm-3m (No. 221)
Asymmetric unit:
Cs 0.0000 0.0000 0.5000 [3 per cell]  2 C 3.09
Bi 0.5000 0.5000 0.5000 [1 per cell]  12 Cs 4.38
C 0.0000 0.0000 0.0000 [1 per cell]  6 Cs 3.09

Values from the calculation:
formation energy	0.819	eV per atom
raw total energy	-2.5320	eV/atom

***

Entry 6:
CsBi3C | PBEsol | relaxed

Cell lengths 5.2195, 5.2195, 5.2195 Å; angles 90.00, 90.00, 90.00 degrees
With the nearest neighbours (Å) after each atom.
Space group Pm-3m (No. 221)
Asymmetric unit:
Cs 0.0000 0.0000 0.0000 [1 per cell]  12 Bi 3.69
Bi 0.0000 0.5000 0.5000 [3 per cell]  2 C 2.61
C 0.5000 0.5000 0.5000 [1 per cell]  6 Bi 2.61

Values from the calculation:
formation energy	0.802	eV per atom
raw total energy	-3.8862	eV/atom